This record from the Alexandria database describes a geometry-optimized PaCoMoO6 structure. The functional is PBE with a Hubbard U.

Total energy in eV for the cell shown: -140.57
SG: No. 163

```
18
Lattice="5.5003 0.0000 0.0000 -2.7502 4.7634 0.0000 0.0000 0.0000 8.8282" Properties=species:S:1:pos:R:3 pbc="T T T"
Pa 0.0000 3.1756 2.2071
Pa 2.7502 1.5878 6.6212
Co 0.0000 0.0000 0.0000
Co 0.0000 0.0000 4.4141
Mo 0.0000 3.1756 6.6212
Mo 2.7502 1.5878 2.2071
O -0.8429 1.6904 5.5556
O -1.7077 3.1882 7.6867
O 0.8429 1.6904 7.6867
O -0.8648 4.6482 5.5556
O 1.8854 0.1152 1.1415
O 1.0425 1.5752 3.2726
O 1.7077 3.1882 5.5556
O 0.8648 4.6482 7.6867
O 3.6149 0.1152 3.2726
O 1.9072 3.0730 1.1415
O 4.4578 1.5752 1.1415
O 3.5931 3.0730 3.2726
```